K2Re3S6: optimized geometry, GGA-PBE.

Uncorrected formation energy in eV/atom: -0.793
Total magnetic moment in μB/atom: 0.000
Space group: No. 15
V in A^3/atom: 22.54
N(E_F) in states/eV/f.u.: 0.00

Geometry as extended XYZ:
```
44
Lattice="8.353 -4.942 0.000 8.353 4.942 0.000 -0.342 0.000 12.012" Properties=species:S:1:pos:R:3 pbc="T T T"
K 8.096 3.920 9.009
K 6.056 2.378 11.791
K 8.267 2.078 3.003
K 10.137 2.378 6.227
K 6.227 -2.378 5.785
K 8.096 -2.078 9.009
K 10.308 -2.378 0.221
K 8.267 -3.920 3.003
Re 3.254 1.729 7.560
Re 3.324 1.049 4.984
Re 5.567 1.509 6.304
Re 3.153 -1.049 10.990
Re 3.425 -1.729 1.554
Re 5.738 -1.509 0.298
Re 10.625 1.509 11.714
Re 12.939 1.729 10.458
Re 13.210 1.049 1.022
Re 10.796 -1.509 5.708
Re 13.039 -1.049 7.028
Re 13.110 -1.729 4.452
S 6.777 3.570 5.786
S 2.199 0.824 9.634
S 5.373 2.189 8.619
S 4.281 0.381 0.784
S 9.758 3.570 0.220
S 2.370 -0.824 3.628
S 5.491 0.949 3.962
S 4.110 -0.381 6.790
S 5.320 -0.949 9.968
S 7.662 0.305 6.888
S 10.819 2.189 9.399
S 8.531 0.305 11.130
S 7.833 -0.305 0.882
S 5.545 -2.189 2.613
S 8.702 -0.305 5.124
S 11.044 0.949 2.044
S 12.254 0.381 5.222
S 10.872 -0.949 8.050
S 13.993 0.824 8.384
S 6.606 -3.570 11.792
S 12.083 -0.381 11.228
S 10.990 -2.189 3.393
S 14.164 -0.824 2.378
S 9.586 -3.570 6.226
```



SmEr4Sc4: optimized geometry, GGA-PBE.

ΔH_f (0 K) in eV per formula unit: 0.47
Total magnetic moment in μB/atom: 0.000
Space group: No. 139
V in A^3/atom: 28.08
N(E_F) in states/eV/f.u.: 14.22

Geometry as extended XYZ:
```
9
Lattice="-5.115 5.115 2.415 5.115 -5.115 2.415 5.115 5.115 -2.415" Properties=species:S:1:pos:R:3 pbc="T T T"
Sm 0.000 0.000 0.000
Er 3.385 3.385 0.000
Er 1.729 -1.729 2.415
Er -1.729 1.729 2.415
Er 1.729 1.729 2.415
Sc 3.482 0.000 0.000
Sc 6.747 0.000 0.000
Sc 0.000 3.482 0.000
Sc 0.000 6.747 0.000
```



La3MoAu: optimized geometry, GGA-PBE.

ΔH_f (0 K) in eV per formula unit: 0.64
Energy above the lowest structure with this stoichiometry in kJ per mole of atoms: 0.0
Total magnetic moment in μB/atom: 0.000
Space group: No. 221
V in A^3/atom: 32.45
N(E_F) in states/eV/f.u.: 5.07

Geometry as extended XYZ:
```
5
Lattice="5.454 0.000 0.000 0.000 5.454 0.000 0.000 0.000 5.454" Properties=species:S:1:pos:R:3 pbc="T T T"
La 0.000 0.000 2.727
La 0.000 2.727 0.000
La 2.727 0.000 0.000
Mo 0.000 0.000 0.000
Au 2.727 2.727 2.727
```